A plane-wave DFT calculation with PBE-GGA was carried out for Ce4Tc2Os after structural relaxation.

Results
total energy	-8.05	eV per atom
DOS at the Fermi energy	19.6	states/eV per cell

a b c (Å): 6.4525 8.0603 7.7844
angles (deg): 115.77 104.68 107.27
With the nearest neighbours (Å) after each atom.
Positions (direct):
Ce  0.4849  0.0873  0.3589  1 Tc 2.39
Ce  0.3503  0.4764  0.1302  1 Os 2.74, 3 Tc 2.79-2.87
Ce  0.0536  0.2641  0.3774  2 Tc 2.67-2.91, 1 Os 2.92
Ce  0.7595  0.1210  0.8424  1 Tc 2.45
Ce  0.4113  0.7577  0.8727  2 Os 2.86-3.19, 2 Tc 2.86-2.99
Ce  0.1873  0.0324  0.6684  2 Tc 2.71-2.82, 2 Os 2.75-2.86
Ce  0.9148  0.6776  0.1072  1 Tc 2.55
Ce  0.7854  0.6210  0.6017  1 Os 2.98, 4 Tc 3.03-3.31, 1 Ce 3.27
Tc  0.5198  0.3996  0.7691  2 Ce 2.55-2.71
Tc  0.0132  0.3800  0.7394  4 Ce 2.67-2.86
Tc  0.6719  0.3087  0.1370  1 Ce 2.45
Tc  0.7031  0.9088  0.4178  1 Ce 2.39
Os  0.1350  0.0213  0.0172  5 Ce 2.73-2.98
Os  0.2599  0.6943  0.4605  5 Ce 2.74-3.01, 1 Tc 3.05



A plane-wave DFT calculation with PBE-GGA was carried out for Ce8TcOs2 after structural relaxation.

Results
polymorph energy (0 for the lowest one)	0.0	meV per atom
DOS at the Fermi energy	24.0	states/eV per cell

a b c (Å): 4.5154 6.6265 9.1079
angles (deg): 99.41 104.35 90.00
With the nearest neighbours (Å) after each atom.
Positions (direct):
Ce  0.4086  0.5329  0.8172  2 Os 2.87, 2 Ce 2.97
Ce  0.7803  0.7235  0.5606  3 Ce 2.96-3.08, 3 Os 2.97-2.99
Ce  0.0032  0.2507  0.0064  2 Tc 2.80, 2 Ce 2.97, 1 Os 3.12
Ce  0.6577  0.9784  0.3154  1 Tc 2.81, 3 Ce 2.96-3.08, 2 Os 3.03
Ce  0.9968  0.7493  0.9936  2 Tc 2.80, 2 Ce 2.97, 1 Os 3.12
Ce  0.2197  0.2765  0.4394  3 Ce 2.96-3.08, 3 Os 2.97-2.99
Ce  0.5914  0.4671  0.1828  2 Os 2.87, 2 Ce 2.97
Ce  0.3423  0.0216  0.6846  1 Tc 2.81, 3 Ce 2.96-3.08, 2 Os 3.03
Os  0.8328  0.3210  0.6656  8 Ce 2.87-3.12
Os  0.1672  0.6790  0.3344  8 Ce 2.87-3.12
Tc  0.5000  0.0000  0.0000  6 Ce 2.80-2.81



A plane-wave DFT calculation with PBE-GGA was carried out for Ce8Tc2Os after structural relaxation.

Results
polymorph energy (0 for the lowest one)	0.0	meV per atom
DOS at the Fermi energy	25.7	states/eV per cell

a b c (Å): 4.5376 6.6355 9.0997
angles (deg): 98.00 104.44 90.00
With the nearest neighbours (Å) after each atom.
Positions (direct):
Ce  0.4069  0.5332  0.8137  2 Tc 2.89, 2 Ce 2.98
Ce  0.7805  0.7102  0.5610  3 Tc 2.86-3.00, 3 Ce 2.97-3.18
Ce  0.5931  0.4668  0.1863  2 Tc 2.89, 2 Ce 2.98
Ce  0.2195  0.2898  0.4390  3 Tc 2.86-3.00, 3 Ce 2.97-3.18
Ce  0.9944  0.7459  0.9888  2 Os 2.82, 2 Ce 2.98, 1 Tc 3.15
Ce  0.3426  0.0275  0.6852  1 Os 2.81, 1 Ce 2.97, 2 Tc 3.01
Ce  0.0056  0.2541  0.0112  2 Os 2.82, 2 Ce 2.98, 1 Tc 3.15
Ce  0.6574  0.9725  0.3148  1 Os 2.81, 1 Ce 2.97, 2 Tc 3.01
Os  0.5000  0.0000  0.0000  6 Ce 2.81-2.82
Tc  0.1678  0.6787  0.3356  8 Ce 2.86-3.15
Tc  0.8322  0.3213  0.6644  8 Ce 2.86-3.15



A plane-wave DFT calculation with PBE-GGA was carried out for Ce6Tc2Os after structural relaxation.

Results
polymorph energy (0 for the lowest one)	0.0	meV per atom
DOS at the Fermi energy	38.9	states/eV per cell

a b c (Å): 8.2200 8.2200 8.2200
angles (deg): 102.77 109.63 116.30
With the nearest neighbours (Å) after each atom.
Positions (direct):
Ce  0.7154  0.3777  0.6623  3 Tc 2.72-2.99, 1 Os 2.98
Ce  0.8097  0.7596  0.5693  1 Tc 2.78, 1 Os 3.06
Ce  0.5360  0.7118  0.8242  3 Tc 2.88-2.89, 1 Os 3.00
Ce  0.1903  0.7596  0.9499  1 Tc 2.78, 1 Os 3.06
Ce  0.7154  0.0532  0.3377  3 Tc 2.72-2.99, 1 Os 2.98
Ce  0.2846  0.6223  0.3377  3 Tc 2.72-2.99, 1 Os 2.98
Ce  0.1903  0.2404  0.4307  1 Tc 2.78, 1 Os 3.06
Ce  0.8877  0.7118  0.1758  3 Tc 2.88-2.89, 1 Os 3.00
Ce  0.4640  0.2882  0.1758  3 Tc 2.88-2.89, 1 Os 3.00
Ce  0.2846  0.9468  0.6623  3 Tc 2.72-2.99, 1 Os 2.98
Ce  0.8097  0.2404  0.0501  1 Tc 2.78, 1 Os 3.06
Ce  0.1123  0.2882  0.8242  3 Tc 2.88-2.89, 1 Os 3.00
Tc  0.5000  0.3547  0.8547  6 Ce 2.72-2.89, 1 Tc 2.98
Tc  0.3266  0.0000  0.3266  8 Ce 2.78-2.99, 1 Os 3.09
Tc  0.5000  0.6453  0.1453  6 Ce 2.72-2.89, 1 Tc 2.98
Tc  0.6734  0.0000  0.6734  8 Ce 2.78-2.99, 1 Os 3.09
Os  0.0000  0.0000  0.0000  8 Ce 3.00-3.06, 2 Tc 3.09
Os  0.0000  0.5000  0.5000  8 Ce 2.98-3.22



A plane-wave DFT calculation with PBE-GGA was carried out for Ce12TcOs6 after structural relaxation.

Results
total energy	-7.90	eV per atom
DOS at the Fermi energy	46.7	states/eV per cell

a b c (Å): 8.1008 8.1008 8.1008
angles (deg): 98.86 98.86 98.86
With the nearest neighbours (Å) after each atom.
Positions (direct):
Ce  0.0841  0.9515  0.3242  1 Tc 2.71, 2 Os 2.78-2.79
Ce  0.8172  0.5861  0.4236  3 Os 2.67-2.96
Ce  0.6758  0.9159  0.0485  1 Tc 2.71, 2 Os 2.78-2.79
Ce  0.9515  0.3242  0.0841  1 Tc 2.71, 2 Os 2.78-2.79
Ce  0.1828  0.4139  0.5764  3 Os 2.67-2.96
Ce  0.5764  0.1828  0.4139  3 Os 2.67-2.96
Ce  0.9159  0.0485  0.6758  1 Tc 2.71, 2 Os 2.78-2.79
Ce  0.4139  0.5764  0.1828  3 Os 2.67-2.96
Ce  0.0485  0.6758  0.9159  1 Tc 2.71, 2 Os 2.78-2.79
Ce  0.4236  0.8172  0.5861  3 Os 2.67-2.96
Ce  0.3242  0.0841  0.9515  1 Tc 2.71, 2 Os 2.78-2.79
Ce  0.5861  0.4236  0.8172  3 Os 2.67-2.96
Tc  0.0000  0.0000  0.0000  6 Ce 2.71
Os  0.6956  0.8690  0.3839  5 Ce 2.67-2.96
Os  0.8690  0.3839  0.6956  5 Ce 2.67-2.96
Os  0.6161  0.3044  0.1310  5 Ce 2.67-2.96
Os  0.3839  0.6956  0.8690  5 Ce 2.67-2.96
Os  0.1310  0.6161  0.3044  5 Ce 2.67-2.96
Os  0.3044  0.1310  0.6161  5 Ce 2.67-2.96



A plane-wave DFT calculation with PBE-GGA was carried out for Ce2TcOs3 after structural relaxation.

Results
total energy	-9.54	eV per atom
DOS at the Fermi energy	17.8	states/eV per cell

a b c (Å): 5.4479 5.4479 8.6389
angles (deg): 90.00 90.00 120.00
With the nearest neighbours (Å) after each atom.
Positions (direct):
Ce  0.6667  0.3333  0.4278  4 Ce 3.07-3.38, 9 Os 3.13-3.18, 3 Tc 3.21
Ce  0.3333  0.6667  0.5722  4 Ce 3.07-3.38, 9 Os 3.13-3.18, 3 Tc 3.21
Ce  0.6667  0.3333  0.0722  4 Ce 3.07-3.38, 9 Os 3.13-3.18, 3 Tc 3.21
Ce  0.3333  0.6667  0.9278  4 Ce 3.07-3.38, 9 Os 3.13-3.18, 3 Tc 3.21
Os  0.1706  0.8294  0.2500  4 Os 2.66-2.79, 2 Tc 2.69
Os  0.6587  0.8294  0.2500  4 Os 2.66-2.79, 2 Tc 2.69
Os  0.1706  0.3413  0.2500  4 Os 2.66-2.79, 2 Tc 2.69
Os  0.8294  0.6587  0.7500  4 Os 2.66-2.79, 2 Tc 2.69
Os  0.8294  0.1706  0.7500  4 Os 2.66-2.79, 2 Tc 2.69
Os  0.3413  0.1706  0.7500  4 Os 2.66-2.79, 2 Tc 2.69
Tc  0.0000  0.0000  0.0000  6 Os 2.69
Tc  0.0000  0.0000  0.5000  6 Os 2.69



A plane-wave DFT calculation with PBE-GGA was carried out for Ce8Tc2Os after structural relaxation.

Results
polymorph energy (0 for the lowest one)	12.4	meV per atom
DOS at the Fermi energy	26.7	states/eV per cell

a b c (Å): 5.8069 7.4359 7.4359
angles (deg): 115.53 101.48 101.48
With the nearest neighbours (Å) after each atom.
Positions (direct):
Ce  0.0000  0.2198  0.7865  1 Os 2.73
Ce  0.4144  0.6762  0.9030  2 Tc 2.75-2.78, 1 Ce 2.85
Ce  0.5856  0.1031  0.3298  2 Tc 2.75-2.78, 1 Ce 2.85
Ce  0.1765  0.3788  0.3788  1 Os 2.77
Ce  0.4144  0.9030  0.6762  2 Tc 2.75-2.78, 1 Ce 2.85
Ce  0.0000  0.7865  0.2198  1 Os 2.73
Ce  0.5856  0.3298  0.1031  2 Tc 2.75-2.78, 1 Ce 2.85
Ce  0.8234  0.6274  0.6274  1 Os 2.77
Tc  0.5000  0.2989  0.7074  6 Ce 2.75-3.07
Tc  0.5000  0.7074  0.2989  6 Ce 2.75-3.07
Os  0.9999  0.0031  0.0031  4 Ce 2.73-2.77



A plane-wave DFT calculation with PBE-GGA was carried out for Ce8TcOs2 after structural relaxation.

Results
polymorph energy (0 for the lowest one)	2.5	meV per atom
DOS at the Fermi energy	27.2	states/eV per cell

a b c (Å): 5.8613 7.4227 7.4227
angles (deg): 115.11 101.74 101.74
With the nearest neighbours (Å) after each atom.
Positions (direct):
Ce  0.1750  0.3737  0.3737  1 Tc 2.73
Ce  0.8250  0.6325  0.6325  1 Tc 2.73
Ce  0.5907  0.1052  0.3286  2 Os 2.77-2.81, 1 Ce 2.80
Ce  0.4093  0.6776  0.9009  2 Os 2.77-2.81, 1 Ce 2.80
Ce  0.4093  0.9009  0.6776  2 Os 2.77-2.81, 1 Ce 2.80
Ce  0.0000  0.2173  0.7889  1 Tc 2.68
Ce  0.0000  0.7889  0.2173  1 Tc 2.68
Ce  0.5907  0.3286  0.1052  2 Os 2.77-2.81, 1 Ce 2.80
Os  0.5000  0.3006  0.7056  6 Ce 2.77-3.10
Os  0.5000  0.7056  0.3006  6 Ce 2.77-3.10
Tc  0.9999  0.0030  0.0030  4 Ce 2.68-2.73



A plane-wave DFT calculation with PBE-GGA was carried out for CeThTcOs after structural relaxation.

Results
total energy	-8.80	eV per atom
DOS at the Fermi energy	3.2	states/eV per cell

a b c (Å): 4.9776 4.9776 4.9776
angles (deg): 60.00 60.00 60.00
With the nearest neighbours (Å) after each atom.
Positions (direct):
Os  0.2500  0.2500  0.2500  4 Th 3.05, 4 Ce 3.05
Tc  0.7500  0.7500  0.7500  4 Ce 3.05, 4 Th 3.05
Ce  0.0000  0.0000  0.0000  4 Tc 3.05, 4 Os 3.05
Th  0.5000  0.5000  0.5000  4 Tc 3.05, 4 Os 3.05



A plane-wave DFT calculation with PBE-GGA was carried out for CeTiTcOs after structural relaxation.

Results
total energy	-9.04	eV per atom
DOS at the Fermi energy	3.7	states/eV per cell

a b c (Å): 4.6355 4.6355 4.6355
angles (deg): 60.00 60.00 60.00
With the nearest neighbours (Å) after each atom.
Positions (direct):
Tc  0.5000  0.5000  0.5000  4 Ce 2.84, 4 Ti 2.84
Os  0.0000  0.0000  0.0000  4 Ce 2.84, 4 Ti 2.84
Ti  0.2500  0.2500  0.2500  4 Tc 2.84, 4 Os 2.84
Ce  0.7500  0.7500  0.7500  4 Tc 2.84, 4 Os 2.84



A plane-wave DFT calculation with PBE-GGA was carried out for CeZrTcOs after structural relaxation.

Results
total energy	-9.22	eV per atom
DOS at the Fermi energy	4.0	states/eV per cell

a b c (Å): 4.7722 4.7722 4.7722
angles (deg): 60.00 60.00 60.00
With the nearest neighbours (Å) after each atom.
Positions (direct):
Os  0.2500  0.2500  0.2500  4 Zr 2.92, 4 Ce 2.92
Zr  0.5000  0.5000  0.5000  4 Os 2.92, 4 Tc 2.92
Tc  0.7500  0.7500  0.7500  4 Zr 2.92, 4 Ce 2.92
Ce  0.0000  0.0000  0.0000  4 Tc 2.92, 4 Os 2.92



A plane-wave DFT calculation with PBE-GGA was carried out for Ce8TeOs2 after structural relaxation.

Results
uncorrected formation energy	-0.242	eV per atom
DOS at the Fermi energy	30.2	states/eV per cell

a b c (Å): 5.2859 8.4394 7.8966
angles (deg): 57.70 83.43 77.63
With the nearest neighbours (Å) after each atom.
Positions (direct):
Ce  0.6965  0.5828  0.0000  1 Ce 2.74
Ce  0.0588  0.6898  0.2176  1 Ce 2.90, 2 Os 2.91-2.97
Ce  0.5000  0.7488  0.5023  2 Os 2.70
Ce  0.9412  0.0926  0.2176  1 Ce 2.90, 2 Os 2.91-2.97
Ce  0.5000  0.2512  0.4977  2 Os 2.70
Ce  0.0588  0.9074  0.7824  1 Ce 2.90, 2 Os 2.91-2.97
Ce  0.3035  0.4172  0.0000  1 Ce 2.74
Ce  0.9412  0.3102  0.7824  1 Ce 2.90, 2 Os 2.91-2.97
Os  0.0000  0.7065  0.5869  6 Ce 2.70-2.97
Os  0.0000  0.2935  0.4131  6 Ce 2.70-2.97
Te  0.5000  0.0000  0.0000  12 Ce 3.35-3.48